NaLuZnTe3 | PBE | optimized geometry

The total energy comes out at -0.1319 hartree per atom. The offset from the most stable computed form is 126.4 meV/atom. The total magnetization is 0.00 μB/cell.

The structure belongs to space group Pnma (No. 62); the cell edges are 8.802, 4.411 and 17.783 Å and the angles 90.00°, 90.00° and 90.00°. Symmetry generates all atoms from Na at (0.075, 0.250, 0.217), Lu at (0.242, 0.250, 0.953), Zn at (0.125, 0.250, 0.646), Te at (0.001, 0.250, 0.418), Te at (0.127, 0.750, 0.055) and Te at (0.195, 0.250, 0.788).

=====

NaLuZnTe3 | PBE | optimized geometry

The total energy comes out at -0.1326 hartree per atom. The offset from the most stable computed form is 107.4 meV/atom. The total magnetization is 0.02 μB/cell.

The structure belongs to space group C2/m (No. 12); the cell edges are 20.238, 4.270 and 8.672 Å and the angles 90.00°, 102.25° and 90.00°. Symmetry generates all atoms from Na at (0.121, 0.000, 0.065), Lu at (0.174, 0.000, 0.576), Zn at (0.039, 0.500, 0.724), Te at (0.000, 0.000, 0.500), Te at (0.000, 0.500, 0.000), Te at (0.171, 0.500, 0.819) and Te at (0.175, 0.500, 0.337).

=====

NaLuZnTe3 | PBE | optimized geometry

The total energy comes out at -0.1362 hartree per atom. The offset from the most stable computed form is 8.6 meV/atom. The total magnetization is 0.02 μB/cell.

The structure belongs to space group Pnma (No. 62); the cell edges are 14.961, 4.266 and 11.652 Å and the angles 90.00°, 90.00° and 90.00°. Symmetry generates all atoms from Na at (0.230, 0.250, 0.060), Lu at (0.016, 0.250, 0.344), Zn at (0.012, 0.750, 0.095), Te at (0.100, 0.750, 0.884), Te at (0.110, 0.250, 0.571) and Te at (0.140, 0.750, 0.250).